Entry 1:
Material: Sr2MnBPt
Method: DFT, PBE
State: optimized geometry

a b c (Å): 5.6500 4.0229 5.6500
angles (deg): 90.00 90.00 90.00
Last column: magnetic moment on the atom in μB.
Sites, in units of the cell vectors:
Sr1 0.0000 0.0000 0.5000  -0.02
Sr2 0.5000 0.0000 0.0000  -0.02
B1 0.0000 0.0000 0.0000  0.03
Mn1 0.5000 0.5000 0.5000  4.13
Pt1 0.0000 0.5000 0.0000  0.03

Uncorrected energy, eV/atom: -4.991
Formation enthalpy at 0 K, eV/atom: 0.0593
SG: P4/mmm, No. 123

Entry 2:
Material: Ba2Zn3Sn4Rh
Method: DFT, PBE
State: optimized geometry

a b c (Å): 4.7887 4.7887 11.2351
angles (deg): 90.00 90.00 90.00
Sites, in units of the cell vectors:
Ba1 0.5000 0.0000 0.2605
Ba2 0.0000 0.5000 0.7395
Zn1 0.0000 0.0000 0.5000
Zn2 0.5000 0.0000 0.8609
Zn3 0.0000 0.5000 0.1391
Sn1 0.5000 0.5000 0.0000
Sn2 0.0000 0.0000 0.0000
Sn3 0.5000 0.0000 0.6149
Sn4 0.0000 0.5000 0.3851
Rh1 0.5000 0.5000 0.5000

Uncorrected energy, eV/atom: -3.527
Formation enthalpy at 0 K, eV/atom: -0.4241
SG: P-4m2, No. 115

Entry 3:
Material: TmUAl2O8
Method: DFT, PBE
State: optimized geometry

a b c (Å): 5.8183 5.8183 5.8183
angles (deg): 107.95 107.95 112.56
Last column: magnetic moment on the atom in μB.
Sites, in units of the cell vectors:
Tm1 0.0000 0.0000 0.0000  0.00
U1 0.2500 0.7500 0.5000  -0.06
Al1 0.7500 0.2500 0.5000  -0.01
Al2 0.5000 0.5000 0.0000  0.00
O1 0.3770 0.0589 0.3181  0.11
O2 0.3177 0.5120 0.1943  0.04
O3 0.3177 0.1235 0.8057  0.04
O4 0.7408 0.0589 0.6819  0.11
O5 0.8765 0.6823 0.1943  0.04
O6 0.9411 0.2592 0.3181  0.11
O7 0.9411 0.6230 0.6819  0.11
O8 0.4880 0.6823 0.8057  0.04

Uncorrected energy, eV/atom: -8.128
Raw formation energy, eV/atom: -2.885
SG: I-4m2, No. 119

Entry 4:
Material: Mg2InB2Pt5
Method: DFT, PBE
State: optimized geometry

a b c (Å): 3.1564 9.7257 9.7257
angles (deg): 90.00 90.00 90.00
Sites, in units of the cell vectors:
Mg1 0.0000 0.6773 0.1773
Mg2 0.0000 0.3227 0.8227
Mg3 0.0000 0.1773 0.3227
Mg4 0.0000 0.8227 0.6773
In1 0.0000 0.0000 0.0000
In2 0.0000 0.5000 0.5000
B1 0.0000 0.1226 0.6226
B2 0.0000 0.8774 0.3774
B3 0.0000 0.6226 0.8774
B4 0.0000 0.3774 0.1226
Pt1 0.5000 0.2256 0.0704
Pt2 0.5000 0.7744 0.9296
Pt3 0.5000 0.0704 0.7744
Pt4 0.5000 0.7256 0.4296
Pt5 0.5000 0.9296 0.2256
Pt6 0.5000 0.2744 0.5704
Pt7 0.5000 0.5704 0.7256
Pt8 0.5000 0.4296 0.2744
Pt9 0.5000 0.5000 0.0000
Pt10 0.5000 0.0000 0.5000

Uncorrected energy, eV/atom: -5.448
Formation enthalpy at 0 K, eV/atom: -0.4991
SG: P4/mbm, No. 127

Entry 5:
Material: Li2NdMg3
Method: DFT, PBE
State: optimized geometry

a b c (Å): 3.4978 3.4978 11.5399
angles (deg): 90.00 90.00 90.00
Sites, in units of the cell vectors:
Li1 0.5000 0.5000 0.8517
Li2 0.5000 0.5000 0.1483
Nd1 0.5000 0.5000 0.5000
Mg1 0.0000 0.0000 0.0000
Mg2 0.0000 0.0000 0.7083
Mg3 0.0000 0.0000 0.2917

Energy above the most stable polymorph in this dataset, meV per atom: 0
Uncorrected energy, eV/atom: -2.283
Formation enthalpy at 0 K, eV/atom: -0.0531
SG: P4/mmm, No. 123

Entry 6:
Material: TcPdPt2
Method: DFT, PBE
State: optimized geometry

a b c (Å): 4.4433 4.4433 4.4433
angles (deg): 60.00 60.00 60.00
Sites, in units of the cell vectors:
Pd1 0.5000 0.5000 0.5000
Pt1 0.2500 0.2500 0.2500
Pt2 0.7500 0.7500 0.7500
Tc1 0.0000 0.0000 0.0000

Energy above the most stable polymorph in this dataset, meV per atom: 345
Uncorrected energy, eV/atom: -6.742
Formation enthalpy at 0 K, eV/atom: 0.1679
SG: Fm-3m, No. 225

Which of these has the highest uncorrected energy? Li2NdMg3